Record 1
Here is InGa3Bi after structural relaxation from Alexandria via LeMat-Bulk. Energies are from GGA-PBE.

```
InGa3Bi
1.0
6.176 -2.711 0.000
6.176 2.711 0.000
-2.433 0.000 7.247
In Ga Bi
2 6 2
Cartesian
-0.122 0.000 2.520
10.042 0.000 4.727
1.859 0.000 0.431
0.988 0.000 5.417
2.901 0.000 3.443
7.019 0.000 3.804
8.932 0.000 1.830
8.061 0.000 6.817
4.903 0.000 1.100
5.017 0.000 6.147
```

ΔE_f in eV per atom: 0.071
Excess energy over the best structure of this formula in the dataset in meV/atom: 0

***

Record 2
Here is LaCdGa after structural relaxation from Alexandria via LeMat-Bulk. Energies are from GGA-PBE.

```
LaCdGa
1.0
5.540 -2.231 0.000
5.540 2.231 0.000
-0.187 0.000 6.248
La Cd Ga
2 2 2
Cartesian
0.000 0.000 0.000
6.716 0.000 2.927
3.382 0.000 4.525
7.664 0.000 6.095
3.405 0.000 1.549
10.036 0.000 3.019
```

ΔE_f in eV per atom: -0.420

***

Record 3
Here is CsK2Zn2 after structural relaxation from Alexandria via LeMat-Bulk. Energies are from GGA-PBE.

```
CsK2Zn2
1.0
9.466 0.000 0.000
0.000 9.466 0.000
0.000 0.000 5.284
Cs K Zn
2 4 4
Cartesian
0.000 0.000 0.000
4.733 4.733 0.000
1.558 3.175 2.642
3.175 7.908 2.642
6.291 1.558 2.642
7.908 6.291 2.642
0.916 5.649 0.000
3.817 0.916 0.000
5.649 8.550 0.000
8.550 3.817 0.000
```

ΔE_f in eV per atom: 0.125
Excess energy over the best structure of this formula in the dataset in meV/atom: 0

***

Record 4
Here is MnZn2Ru after structural relaxation from Alexandria via LeMat-Bulk. Energies are from GGA-PBE.

```
MnZn2Ru
1.0
3.174 0.000 0.000
0.000 3.174 0.000
0.000 0.000 5.560
Mn Zn Ru
1 2 1
Cartesian
0.000 0.000 0.000
1.587 1.587 1.421
1.587 1.587 4.139
0.000 0.000 2.780
```

ΔE_f in eV per atom: 0.031
Excess energy over the best structure of this formula in the dataset in meV/atom: 79

***

Record 5
Here is Na2BeNb after structural relaxation from Alexandria via LeMat-Bulk. Energies are from GGA-PBE.

```
Na2BeNb
1.0
-4.110 4.110 2.566
4.110 -4.110 2.566
4.110 4.110 -2.566
Na Be Nb
4 2 2
Cartesian
6.165 1.631 -0.642
1.631 2.055 0.642
-2.055 2.479 1.925
2.479 2.055 3.208
0.000 0.000 0.000
0.000 4.110 1.283
4.110 0.000 1.283
0.000 0.000 2.566
```

ΔE_f in eV per atom: 1.265

***

Record 6
Here is FeNiRu after structural relaxation from Alexandria via LeMat-Bulk. Energies are from GGA-PBE.

```
FeNiRu
1.0
1.286 -7.211 0.000
1.286 7.211 0.000
0.000 0.000 3.860
Fe Ni Ru
2 2 2
Cartesian
1.286 6.588 2.895
1.286 -6.588 0.965
1.286 4.183 2.895
1.286 -4.183 0.965
1.286 1.643 2.895
1.286 -1.643 0.965
```

ΔE_f in eV per atom: 0.108
Excess energy over the best structure of this formula in the dataset in meV/atom: 0

***

Record 7
Here is CuNiSeN2 after structural relaxation from Alexandria via LeMat-Bulk. Energies are from GGA-PBE.

```
CuNiSeN2
1.0
3.611 0.000 0.000
0.000 3.611 0.000
0.000 0.000 5.686
Cu Ni Se N
1 1 1 2
Cartesian
0.000 0.000 0.000
1.805 1.805 2.843
0.000 0.000 2.843
0.000 1.805 0.000
1.805 0.000 0.000
```

Excess energy over the best structure of this formula in the dataset in meV/atom: 376
Energy relative to the elements, uncorrected in eV/atom: 1.550

***

Record 8
Here is Ti2Zn2Hg after structural relaxation from Alexandria via LeMat-Bulk. Energies are from GGA-PBE.

```
Ti2Zn2Hg
1.0
7.142 0.000 0.000
0.000 7.142 0.000
0.000 0.000 3.278
Ti Zn Hg
4 4 2
Cartesian
1.219 2.352 0.000
2.352 5.923 0.000
4.790 1.219 0.000
5.923 4.790 0.000
0.896 4.467 1.639
2.675 0.896 1.639
4.467 6.246 1.639
6.246 2.675 1.639
0.000 0.000 1.639
3.571 3.571 1.639
```

ΔE_f in eV per atom: -0.064
Excess energy over the best structure of this formula in the dataset in meV/atom: 0

***

Record 9
Here is LaGa4Ni2Rh after structural relaxation from Alexandria via LeMat-Bulk. Energies are from GGA-PBE.

```
LaGa4Ni2Rh
1.0
2.075 1.198 9.129
-2.075 1.198 9.129
0.000 -2.396 9.129
La Ga Ni Rh
1 4 2 1
Cartesian
0.000 0.000 0.000
0.000 0.000 3.565
0.000 0.000 11.102
0.000 0.000 16.285
0.000 0.000 23.822
0.000 0.000 6.237
0.000 0.000 21.149
0.000 0.000 13.693
```

ΔE_f in eV per atom: -0.543

***

Record 10
Here is TeRh2N2 after structural relaxation from Alexandria via LeMat-Bulk. Energies are from GGA-PBE.

```
TeRh2N2
1.0
-2.083 2.083 4.582
2.083 -2.083 4.582
2.083 2.083 -4.582
Te Rh N
1 2 2
Cartesian
0.000 0.000 0.000
2.083 0.000 2.291
0.000 2.083 2.291
0.000 0.000 2.402
0.000 0.000 6.761
```

Excess energy over the best structure of this formula in the dataset in meV/atom: 393
Energy relative to the elements, uncorrected in eV/atom: 0.832

***

Record 11
Here is CuH8Pt2 after structural relaxation from Alexandria via LeMat-Bulk. Energies are from GGA-PBE.

```
CuH8Pt2
1.0
4.849 -3.015 0.000
4.849 3.015 0.000
-0.031 0.000 3.384
Cu H Pt
1 8 2
Cartesian
0.000 0.000 0.000
3.496 1.769 0.012
2.915 0.000 1.696
6.171 1.769 3.372
4.311 0.000 0.010
5.355 0.000 3.374
3.496 -1.769 0.012
6.752 0.000 1.688
6.171 -1.769 3.372
2.613 0.000 0.001
7.053 0.000 3.382
```

E in eV/atom: -3.767

***

Record 12
Here is LaZrTa2 after structural relaxation from Alexandria via LeMat-Bulk. Energies are from GGA-PBE.

```
LaZrTa2
1.0
-2.155 2.155 4.803
2.155 -2.155 4.803
2.155 2.155 -4.803
La Zr Ta
1 1 2
Cartesian
0.000 0.000 0.000
0.000 0.000 4.803
2.155 0.000 2.401
0.000 2.155 2.401
```

ΔE_f in eV per atom: 0.535
Excess energy over the best structure of this formula in the dataset in meV/atom: 329

***

Record 13
Here is PrNd3Y3Te8 after structural relaxation from Alexandria via LeMat-Bulk. Energies are from GGA-PBE.

```
PrNd3Y3Te8
1.0
4.416 2.550 7.230
-4.416 2.550 7.230
0.000 -5.099 7.230
Pr Nd Y Te
1 3 3 8
Cartesian
0.000 0.000 0.000
-4.416 0.000 10.846
-2.208 1.275 3.615
2.208 1.275 3.615
-2.208 -1.275 7.230
-2.208 1.275 14.461
0.000 2.550 7.230
0.000 0.000 5.499
0.000 -2.416 9.056
-2.092 1.208 9.056
-2.092 -1.208 12.636
2.092 1.208 9.056
2.092 -1.208 12.636
0.000 2.416 12.636
0.000 0.000 16.192
```

Energy relative to the elements, uncorrected in eV/atom: -1.431

***

Record 14
Here is KTc2Pb after structural relaxation from Alexandria via LeMat-Bulk. Energies are from GGA-PBE.

```
KTc2Pb
1.0
0.000 3.403 3.403
3.403 0.000 3.403
3.403 3.403 0.000
K Tc Pb
1 2 1
Cartesian
0.000 0.000 0.000
1.702 1.702 1.702
3.403 3.403 3.403
5.105 5.105 5.105
```

ΔE_f in eV per atom: 1.174

***

Record 15
Here is LiSb2Te after structural relaxation from Alexandria via LeMat-Bulk. Energies are from GGA-PBE.

```
LiSb2Te
1.0
-2.550 2.550 4.078
2.550 -2.550 4.078
2.550 2.550 -4.078
Li Sb Te
1 2 1
Cartesian
0.000 0.000 0.000
2.550 0.000 2.039
0.000 0.000 4.078
0.000 2.550 2.039
```

Energy relative to the elements, uncorrected in eV/atom: -0.037

***

Record 16
Here is KTaW2 after structural relaxation from Alexandria via LeMat-Bulk. Energies are from GGA-PBE.

```
KTaW2
1.0
1.427 0.824 11.299
-1.427 0.824 11.299
0.000 -1.647 11.299
K Ta W
1 1 2
Cartesian
0.000 0.000 0.000
0.000 0.000 16.949
0.000 0.000 8.144
0.000 0.000 25.753
```

ΔE_f in eV per atom: 0.969
Excess energy over the best structure of this formula in the dataset in meV/atom: 245

***

Record 17
Here is Ba2CeSi3Au12 after structural relaxation from Alexandria via LeMat-Bulk. Energies are from GGA-PBE.

```
Ba2CeSi3Au12
1.0
4.456 2.573 6.943
-4.456 2.573 6.943
0.000 -5.146 6.943
Ba Ce Si Au
2 1 3 12
Cartesian
0.000 0.000 2.140
0.000 0.000 18.689
0.000 0.000 10.415
-2.228 -1.286 6.943
-2.228 1.286 13.886
0.000 2.573 6.943
-2.378 -1.373 9.423
0.000 -2.292 6.932
-1.985 1.146 6.932
0.000 -2.746 11.406
-1.985 -1.146 13.898
-2.378 1.373 11.406
2.378 -1.373 9.423
1.985 1.146 6.932
0.000 2.746 9.423
1.985 -1.146 13.898
0.000 2.292 13.898
2.378 1.373 11.406
```

Energy relative to the elements, uncorrected in eV/atom: -0.199

***

Record 18
Here is BeB2Mo2Ru5 after structural relaxation from Alexandria via LeMat-Bulk. Energies are from GGA-PBE.

```
BeB2Mo2Ru5
1.0
9.152 0.000 0.000
0.000 9.152 0.000
0.000 0.000 2.878
Be B Mo Ru
2 4 4 10
Cartesian
0.000 0.000 0.000
4.576 4.576 0.000
1.177 3.399 0.000
3.399 7.974 0.000
5.753 1.177 0.000
7.974 5.753 0.000
1.639 6.215 0.000
2.937 1.639 0.000
6.215 7.513 0.000
7.513 2.937 0.000
0.000 4.576 1.439
0.561 1.907 1.439
1.907 8.591 1.439
2.669 4.015 1.439
4.015 6.483 1.439
4.576 0.000 1.439
5.137 2.669 1.439
6.483 5.137 1.439
7.245 0.561 1.439
8.591 7.245 1.439
```

ΔE_f in eV per atom: -0.312

***

Record 19
Here is RbPaSi2S8 after structural relaxation from Alexandria via LeMat-Bulk. Energies are from GGA-PBE.

```
RbPaSi2S8
1.0
5.411 -3.537 0.000
5.411 3.537 0.000
-4.193 0.000 8.613
Rb Pa Si S
1 1 2 8
Cartesian
0.000 0.000 0.000
-2.096 0.000 4.306
1.844 0.000 6.110
4.785 0.000 2.502
3.508 1.703 2.358
0.524 0.000 4.465
3.120 1.703 6.255
0.508 0.000 7.830
6.120 0.000 0.783
3.508 -1.703 2.358
6.104 0.000 4.148
3.120 -1.703 6.255
```

Energy relative to the elements, uncorrected in eV/atom: -0.905

***

Record 20
Here is La12CeTm3 after structural relaxation from Alexandria via LeMat-Bulk. Energies are from GGA-PBE.

```
La12CeTm3
1.0
5.191 0.000 0.000
0.000 5.191 0.000
0.000 0.000 20.746
La Ce Tm
12 1 3
Cartesian
0.000 0.000 0.000
0.000 0.000 5.192
0.000 0.000 10.373
0.000 0.000 15.553
0.000 2.596 2.545
0.000 2.596 7.772
0.000 2.596 12.974
0.000 2.596 18.201
2.596 0.000 2.545
2.596 0.000 7.772
2.596 0.000 12.974
2.596 0.000 18.201
2.596 2.596 0.000
2.596 2.596 5.182
2.596 2.596 10.373
2.596 2.596 15.563
```

ΔE_f in eV per atom: 0.023

***

no.,magnetic moment (μB per formula unit)
1,0.000
2,0.000
3,0.000
4,4.094
5,2.857
6,0.750
7,3.600
8,0.000
9,0.000
10,0.000
11,0.000
12,0.000
13,0.000
14,0.001
15,0.000
16,0.000
17,0.989
18,0.000
19,0.000
20,1.128